No. 1
A plane-wave DFT calculation with PBE was carried out for crystalline TlRe2O at its relaxed geometry.

Calculated values
Symmetry ... I-42d
E above lowest polymorph ... 0.00 eV per formula unit
Total DFT energy (no corrections) ... -7.29 eV per atom
Formation energy from raw total energies ... 761 meV per atom
Spin magnetization ... 0.63 μB/f.u.

abc: 4.764 4.764 13.410
angles: 90.00 90.00 90.00
Fractional positions:
Tl (0.000, 0.000, 0.000)
Tl (0.000, 0.500, 0.250)
Tl (0.500, 0.000, 0.750)
Tl (0.500, 0.500, 0.500)
Re (0.056, 0.250, 0.625)
Re (0.250, 0.556, 0.875)
Re (0.250, 0.944, 0.375)
Re (0.444, 0.250, 0.125)
Re (0.556, 0.750, 0.125)
Re (0.750, 0.056, 0.375)
Re (0.750, 0.444, 0.875)
Re (0.944, 0.750, 0.625)
O (0.000, 0.000, 0.500)
O (0.000, 0.500, 0.750)
O (0.500, 0.000, 0.250)
O (0.500, 0.500, 0.000)

***

No. 2
A plane-wave DFT calculation with PBE was carried out for crystalline TlReO3 at its relaxed geometry.

Calculated values
Symmetry ... Pm-3m
Total DFT energy (no corrections) ... -7.08 eV per atom
Formation energy from raw total energies ... -1143 meV per atom
Spin magnetization ... 0.00 μB/f.u.

abc: 3.970 3.970 3.970
angles: 90.00 90.00 90.00
Fractional positions:
Tl (0.000, 0.000, 0.000)
Re (0.500, 0.500, 0.500)
O (0.000, 0.500, 0.500)
O (0.500, 0.000, 0.500)
O (0.500, 0.500, 0.000)

***

> Which of these has the lowest formation energy from raw total energies?

TlReO3